The following is a DFT calculation (PBE) of a geometry-optimized KTaGa structure.

Geometry as POSCAR:
```
KTaGa
1.0
0.000 3.516 3.516
3.516 0.000 3.516
3.516 3.516 0.000
K Ta Ga
1 1 1
Cartesian
0.000 0.000 0.000 K
1.758 1.758 1.758 Ta
5.274 5.274 5.274 Ga
```

Properties
The energy above the lowest structure with this stoichiometry is 771 meV/atom. The calculation puts the total magnetization at 1.76 Bohr magnetons per cell.



The following is a DFT calculation (PBE) of a geometry-optimized LiIrCl6 structure.

Geometry as POSCAR:
```
LiIrCl6
1.0
3.007 1.736 5.393
-3.007 1.736 5.393
0.000 -3.472 5.393
Li Ir Cl
1 1 6
Cartesian
0.000 0.000 0.000 Li
0.000 0.000 8.090 Ir
-1.032 -1.607 6.775 Cl
-1.907 0.090 9.404 Cl
-0.875 1.697 6.775 Cl
0.875 -1.697 9.404 Cl
1.907 -0.090 6.775 Cl
1.032 1.607 9.404 Cl
```

Properties
Its total energy is -0.1242 hartree per atom. The calculation puts the total magnetization at 0.03 Bohr magnetons per cell.



The following is a DFT calculation (PBE) of a geometry-optimized SmAgPbSe3 structure.

Geometry as POSCAR:
```
SmAgPbSe3
1.0
9.161 -2.072 0.000
9.161 2.072 0.000
-1.972 0.000 8.465
Sm Ag Pb Se
2 2 2 6
Cartesian
2.834 0.000 0.790 Sm
13.516 0.000 7.675 Sm
7.030 0.000 6.665 Ag
9.320 0.000 1.799 Ag
1.261 0.000 4.882 Pb
15.089 0.000 3.583 Pb
0.000 0.000 0.000 Se
4.494 0.000 5.616 Se
5.752 0.000 1.214 Se
8.175 0.000 4.232 Se
10.598 0.000 7.251 Se
11.856 0.000 2.848 Se
```

Properties
The energy above the lowest structure with this stoichiometry is 5 meV/atom. The calculation puts the total magnetization at 0.00 Bohr magnetons per cell.



Question: Which of these has the highest total magnetization?
Answer: KTaGa



Question: Which formula does entry 3 have?
Answer: SmAgPbSe3



Question: Number 2 is which compound?
Answer: LiIrCl6